{"formula": "AcZnHgPd3", "functional": "GGA-PBE", "state": "optimized geometry", "cell": [[3.524, -6.371, 0.000], [3.524, 6.371, 0.000], [0.000, 0.000, 5.981]], "species": ["Ac", "Ac", "Zn", "Zn", "Hg", "Hg", "Pd", "Pd", "Pd", "Pd", "Pd", "Pd"], "frac_coords": [[0.197, 0.803, 0.750], [0.803, 0.197, 0.250], [0.129, 0.871, 0.250], [0.871, 0.129, 0.750], [0.448, 0.552, 0.750], [0.552, 0.448, 0.250], [0.192, 0.192, 0.000], [0.192, 0.192, 0.500], [0.326, 0.674, 0.250], [0.674, 0.326, 0.750], [0.808, 0.808, 0.000], [0.808, 0.808, 0.500]], "delta_e_f_ev_per_atom": -0.380, "n_ef_per_ev_atom": 0.606, "space_group": "Cmcm (63)", "magnetic_moment_mub_per_fu": 0.000}